(1)
Tb4Dy5Sc, optimized geometry, DFT PBE; D(E_F) = 1.332 states/eV/atom; size of the total moment = 0.00 Bohr magnetons per cell; ΔE to the lowest computed polymorph = 121 meV per atom; ΔH_f (0 K) = 0.23 eV/atom
1.0
5.7656 0.0000 0.0000
2.8828 7.4606 0.0000
2.8828 0.0000 7.4606
Dy Tb Sc
5 4 1
direct
0.7733 0.0000 0.3733
0.6751 0.0000 0.0000
0.1465 0.0000 0.6267
0.7733 0.3733 0.0000
0.1465 0.6267 0.0000
0.7703 0.6771 0.6771
0.4474 0.3229 0.6771
0.1246 0.3229 0.3229
0.4474 0.6771 0.3229
0.2059 0.0000 0.0000

(2)
TbDy3Sc3, optimized geometry, DFT PBE; D(E_F) = 1.805 states/eV/atom; size of the total moment = 0.00 Bohr magnetons per cell; ΔE to the lowest computed polymorph = 161 meV per atom; ΔH_f (0 K) = 0.19 eV/atom
1.0
7.4936 0.3999 3.8764
2.5317 7.0643 3.8764
0.5372 0.3999 8.4197
Sc Tb Dy
6 2 6
direct
0.0624 0.2775 0.8306
0.8306 0.0624 0.2775
0.9376 0.7225 0.1694
0.1694 0.9376 0.7225
0.2775 0.8306 0.0624
0.7225 0.1694 0.9376
0.6521 0.6521 0.6521
0.3479 0.3479 0.3479
0.9328 0.2788 0.4324
0.2788 0.4324 0.9328
0.7212 0.5676 0.0672
0.5676 0.0672 0.7212
0.4324 0.9328 0.2788
0.0672 0.7212 0.5676

(3)
Tb3Dy3Sc5, optimized geometry, DFT PBE; D(E_F) = 1.637 states/eV/atom; size of the total moment = 0.01 Bohr magnetons per cell; ΔH_f (0 K) = 0.82 eV/atom
1.0
-2.8740 -3.9746 -2.2311
1.5932 -5.1946 7.2016
-7.2596 5.3525 -0.1837
Dy Tb Sc
3 3 5
direct
0.0000 0.6105 0.0000
0.0000 0.3896 0.3896
0.0000 0.0000 0.6105
0.5000 0.3813 0.0000
0.5000 0.0000 0.3813
0.5000 0.6187 0.6187
0.5000 0.3333 0.6667
0.5000 0.6667 0.3333
0.5000 0.7576 0.0000
0.5000 0.0000 0.7576
0.5000 0.2424 0.2424

(4)
TbDy2Sc8, optimized geometry, DFT PBE; D(E_F) = 1.583 states/eV/atom; size of the total moment = 0.00 Bohr magnetons per cell; ΔH_f (0 K) = 0.14 eV/atom
1.0
-2.4057 4.8947 -0.6106
-8.3674 2.1706 1.1653
-2.6677 2.7917 8.2895
Sc Dy Tb
8 2 1
direct
0.2246 0.9030 0.7429
0.7754 0.3541 0.7429
0.5000 0.2021 0.5957
0.5000 0.7979 0.4043
0.2450 0.4975 0.0000
0.7550 0.5025 0.0000
0.7754 0.0970 0.2571
0.2246 0.6459 0.2571
0.0000 0.3095 0.3810
0.0000 0.6905 0.6190
0.5000 0.0000 0.0000

(5)
Tb2Dy4Sc5, optimized geometry, DFT PBE; D(E_F) = 1.107 states/eV/atom; size of the total moment = 0.38 Bohr magnetons per cell; ΔE to the lowest computed polymorph = 0 meV per atom; ΔH_f (0 K) = 0.13 eV/atom
1.0
3.4413 0.0000 0.0000
0.0000 8.4668 -2.0166
0.0000 -1.0472 11.1594
Dy Sc Tb
4 5 2
direct
0.5000 0.2404 0.7187
0.5000 0.7469 0.8471
0.5000 0.2531 0.1529
0.5000 0.7596 0.2813
0.0000 0.4958 0.6308
0.0000 0.5000 0.0000
0.0000 0.9105 0.1021
0.0000 0.5042 0.3692
0.0000 0.0895 0.8979
0.0000 0.8655 0.5923
0.0000 0.1345 0.4077

(6)
Tb2Dy6Sc, optimized geometry, DFT PBE; D(E_F) = 1.383 states/eV/atom; size of the total moment = 0.00 Bohr magnetons per cell; ΔE to the lowest computed polymorph = 0 meV per atom; ΔH_f (0 K) = 0.03 eV/atom
1.0
3.5043 -0.0570 -0.2826
1.8272 7.6095 -0.8158
-2.6905 -1.4612 10.6793
Dy Sc Tb
6 1 2
direct
0.6113 0.1664 0.9438
0.0540 0.8292 0.7179
0.3887 0.8336 0.0562
0.9460 0.1708 0.2821
0.2732 0.1710 0.6087
0.7268 0.8290 0.3913
0.5000 0.5000 0.5000
0.8297 0.5007 0.8308
0.1703 0.4993 0.1692

(7)
TbDySc2, optimized geometry, DFT PBE; D(E_F) = 1.541 states/eV/atom; size of the total moment = 0.00 Bohr magnetons per cell; ΔE to the lowest computed polymorph = 43 meV per atom; ΔH_f (0 K) = 0.09 eV/atom
1.0
-4.7441 -2.2379 -1.3231
-2.7674 -2.8451 3.6759
-4.5935 1.9830 2.0572
Sc Tb Dy
2 1 1
direct
0.7500 0.7500 0.7500
0.2500 0.2500 0.2500
0.5000 0.5000 0.5000
0.0000 0.0000 0.0000

(8)
Tb6DySc4, optimized geometry, DFT PBE; D(E_F) = 1.219 states/eV/atom; size of the total moment = 0.00 Bohr magnetons per cell; ΔE to the lowest computed polymorph = 20 meV per atom; ΔH_f (0 K) = 0.33 eV/atom
1.0
6.7447 0.0000 0.0000
0.0000 6.7447 0.0000
-3.3723 -3.3723 7.3070
Tb Sc Dy
6 4 1
direct
0.0000 0.5000 0.0000
0.1104 0.1104 0.6257
0.5000 0.0000 0.0000
0.8896 0.4847 0.3743
0.5153 0.5153 0.6257
0.4847 0.8896 0.3743
0.7508 0.0595 0.8103
0.2492 0.2492 0.1897
0.0595 0.7508 0.8103
0.9405 0.9405 0.1897
0.5000 0.5000 0.0000